Here is Re2Te2Pd after structural relaxation from Alexandria via LeMat-Bulk. Energies are from GGA-PBEsol.

Geometry as CIF:
```
data_Re2Te2Pd
_cell_length_a 3.5919
_cell_length_b 3.5919
_cell_length_c 8.1870
_cell_angle_alpha 102.67
_cell_angle_beta 102.67
_cell_angle_gamma 90.00
_space_group_name_H-M_alt 'P 1'
_space_group_IT_number 1
loop_
_space_group_symop_operation_xyz
'x,y,z'
loop_
_atom_site_label
_atom_site_fract_x
_atom_site_fract_y
_atom_site_fract_z
Pd1 0.0000 0.0000 0.0000
Re1 0.7500 0.2500 0.5000
Re2 0.2500 0.7500 0.5000
Te1 0.6081 0.6081 0.2161
Te2 0.3919 0.3919 0.7839
```

Calculated values
Its total energy is -36.704 eV for the cell shown. As for the density of states at the Fermi level: 0.874 states/eV per atom. The formation energy from raw total energies is 0.5942 eV per atom.

Here is SiNiIr2 after structural relaxation from Alexandria via LeMat-Bulk. Energies are from GGA-PBEsol.

Geometry as CIF:
```
data_SiNiIr2
_cell_length_a 2.7616
_cell_length_b 4.3006
_cell_length_c 4.3006
_cell_angle_alpha 101.17
_cell_angle_beta 90.00
_cell_angle_gamma 90.00
_space_group_name_H-M_alt 'P 1'
_space_group_IT_number 1
loop_
_space_group_symop_operation_xyz
'x,y,z'
loop_
_atom_site_label
_atom_site_fract_x
_atom_site_fract_y
_atom_site_fract_z
Si1 0.5000 0.5000 0.5000
Ir1 0.0000 0.0000 0.5000
Ni1 0.5000 0.0000 0.0000
Ir2 0.0000 0.5000 0.0000
```

Calculated values
Its total energy is -32.972 eV for the cell shown. As for the density of states at the Fermi level: 0.554 states/eV per atom. The formation energy from raw total energies is -0.3552 eV per atom.

Here is Ag2HgPt after structural relaxation from Alexandria via LeMat-Bulk. Energies are from GGA-PBEsol.

Geometry as CIF:
```
data_Ag2HgPt
_cell_length_a 4.5764
_cell_length_b 4.5764
_cell_length_c 4.5764
_cell_angle_alpha 60.00
_cell_angle_beta 60.00
_cell_angle_gamma 60.00
_space_group_name_H-M_alt 'P 1'
_space_group_IT_number 1
loop_
_space_group_symop_operation_xyz
'x,y,z'
loop_
_atom_site_label
_atom_site_fract_x
_atom_site_fract_y
_atom_site_fract_z
Pt1 0.2500 0.2500 0.2500
Ag1 0.7500 0.7500 0.7500
Hg1 0.5000 0.5000 0.5000
Ag2 0.0000 0.0000 0.0000
```

Calculated values
Its total energy is -14.108 eV for the cell shown. As for the density of states at the Fermi level: 0.243 states/eV per atom.

Here is KY4Cl after structural relaxation from Alexandria via LeMat-Bulk. Energies are from GGA-PBEsol.

Geometry as CIF:
```
data_KY4Cl
_cell_length_a 6.7482
_cell_length_b 6.7482
_cell_length_c 6.7482
_cell_angle_alpha 60.00
_cell_angle_beta 60.00
_cell_angle_gamma 60.00
_space_group_name_H-M_alt 'P 1'
_space_group_IT_number 1
loop_
_space_group_symop_operation_xyz
'x,y,z'
loop_
_atom_site_label
_atom_site_fract_x
_atom_site_fract_y
_atom_site_fract_z
Y1 0.3743 0.3743 0.3743
K1 0.0000 0.0000 0.0000
Y2 0.3743 0.3743 0.8771
Y3 0.8771 0.3743 0.3743
Cl1 0.7500 0.7500 0.7500
Y4 0.3743 0.8771 0.3743
```

Calculated values
Its total energy is -27.708 eV for the cell shown. As for the density of states at the Fermi level: 0.830 states/eV per atom. The formation energy from raw total energies is 0.4536 eV per atom.

Here is Li2CuPt after structural relaxation from Alexandria via LeMat-Bulk. Energies are from GGA-PBEsol.

Geometry as CIF:
```
data_Li2CuPt
_cell_length_a 3.6463
_cell_length_b 3.6463
_cell_length_c 3.7774
_cell_angle_alpha 90.00
_cell_angle_beta 90.00
_cell_angle_gamma 90.00
_space_group_name_H-M_alt 'P 1'
_space_group_IT_number 1
loop_
_space_group_symop_operation_xyz
'x,y,z'
loop_
_atom_site_label
_atom_site_fract_x
_atom_site_fract_y
_atom_site_fract_z
Pt1 0.5000 0.5000 0.5000
Cu1 0.0000 0.0000 0.5000
Li1 0.5000 0.0000 0.0000
Li2 0.0000 0.5000 0.0000
```

Calculated values
Its total energy is -16.462 eV for the cell shown. As for the density of states at the Fermi level: 0.360 states/eV per atom.

Here is CaSeBr2 after structural relaxation from Alexandria via LeMat-Bulk. Energies are from GGA-PBEsol.

Geometry as CIF:
```
data_CaSeBr2
_cell_length_a 5.9867
_cell_length_b 7.2633
_cell_length_c 7.2633
_cell_angle_alpha 80.22
_cell_angle_beta 65.66
_cell_angle_gamma 65.66
_space_group_name_H-M_alt 'P 1'
_space_group_IT_number 1
loop_
_space_group_symop_operation_xyz
'x,y,z'
loop_
_atom_site_label
_atom_site_fract_x
_atom_site_fract_y
_atom_site_fract_z
Br1 0.8750 0.6043 0.8957
Se1 0.7500 0.5000 0.5000
Ca1 0.2500 0.5000 0.5000
Br2 0.2293 0.8957 0.3957
Ca2 0.5000 0.0000 0.0000
Br3 0.3750 0.3957 0.1043
Se2 0.0000 0.0000 0.0000
Br4 0.5207 0.1043 0.6043
```

Calculated values
Its total energy is -26.307 eV for the cell shown. As for the density of states at the Fermi level: 0.128 states/eV per atom. The formation energy from raw total energies is -0.8575 eV per atom.

Here is LaYMo after structural relaxation from Alexandria via LeMat-Bulk. Energies are from GGA-PBEsol.

Geometry as CIF:
```
data_LaYMo
_cell_length_a 4.8201
_cell_length_b 4.8201
_cell_length_c 4.8201
_cell_angle_alpha 60.00
_cell_angle_beta 60.00
_cell_angle_gamma 60.00
_space_group_name_H-M_alt 'P 1'
_space_group_IT_number 1
loop_
_space_group_symop_operation_xyz
'x,y,z'
loop_
_atom_site_label
_atom_site_fract_x
_atom_site_fract_y
_atom_site_fract_z
Y1 0.0000 0.0000 0.0000
La1 0.5000 0.5000 0.5000
Mo1 0.2500 0.2500 0.2500
```

Calculated values
Its total energy is -22.084 eV for the cell shown. As for the density of states at the Fermi level: 0.536 states/eV per atom.

Here is La7Ru3 after structural relaxation from Alexandria via LeMat-Bulk. Energies are from GGA-PBEsol.

Geometry as CIF:
```
data_La7Ru3
_cell_length_a 6.6266
_cell_length_b 7.2435
_cell_length_c 23.1883
_cell_angle_alpha 90.00
_cell_angle_beta 90.00
_cell_angle_gamma 90.00
_space_group_name_H-M_alt 'P 1'
_space_group_IT_number 1
loop_
_space_group_symop_operation_xyz
'x,y,z'
loop_
_atom_site_label
_atom_site_fract_x
_atom_site_fract_y
_atom_site_fract_z
La1 0.8264 0.3026 0.8255
La2 0.8665 0.3335 0.2500
La3 0.6335 0.8335 0.2500
La4 0.3264 0.1974 0.1745
La5 0.6736 0.8026 0.8255
Ru1 0.9658 0.0008 0.7500
La6 0.1764 0.6765 0.4773
La7 0.6764 0.8235 0.5227
La8 0.6736 0.8026 0.6745
La9 0.1736 0.6974 0.3255
La10 0.3236 0.1765 0.0227
La11 0.3236 0.1765 0.4773
La12 0.8264 0.3026 0.6745
Ru2 0.5342 0.5008 0.7500
Ru3 0.0342 0.9992 0.2500
La13 0.6764 0.8235 0.9773
La14 0.8236 0.3235 0.5227
La15 0.1736 0.6974 0.1745
La16 0.1335 0.6665 0.7500
Ru4 0.0321 0.3918 0.4043
Ru5 0.5321 0.1082 0.5957
La17 0.3665 0.1665 0.7500
La18 0.1764 0.6765 0.0227
La19 0.8595 0.0633 0.1146
Ru6 0.4679 0.8918 0.0957
Ru7 0.5321 0.1082 0.9043
Ru8 0.9679 0.6082 0.9043
La20 0.6405 0.5633 0.1146
La21 0.3595 0.4367 0.6146
Ru9 0.4679 0.8918 0.4043
La22 0.3264 0.1974 0.3255
La23 0.1405 0.9367 0.8854
La24 0.6405 0.5633 0.3854
La25 0.8595 0.0633 0.3854
Ru10 0.4658 0.4992 0.2500
Ru11 0.0321 0.3918 0.0957
La26 0.3595 0.4367 0.8854
La27 0.1405 0.9367 0.6146
La28 0.8236 0.3235 0.9773
Ru12 0.9679 0.6082 0.5957
```

Calculated values
Its total energy is -280.530 eV for the cell shown. As for the density of states at the Fermi level: 0.818 states/eV per atom.

Here is P2Pb4SO12 after structural relaxation from Alexandria via LeMat-Bulk. Energies are from GGA-PBEsol.

Geometry as CIF:
```
data_P2Pb4SO12
_cell_length_a 9.0787
_cell_length_b 9.0787
_cell_length_c 9.0787
_cell_angle_alpha 109.53
_cell_angle_beta 109.53
_cell_angle_gamma 109.35
_space_group_name_H-M_alt 'P 1'
_space_group_IT_number 1
loop_
_space_group_symop_operation_xyz
'x,y,z'
loop_
_atom_site_label
_atom_site_fract_x
_atom_site_fract_y
_atom_site_fract_z
O1 0.8211 0.9828 0.9647
P1 0.6250 0.2514 0.1264
O2 0.2319 0.7672 0.3383
P2 0.1250 0.4986 0.8736
Pb1 0.3873 0.4849 0.2508
S1 0.2500 0.7500 0.5000
O3 0.7192 0.7145 0.4091
Pb2 0.7349 0.1373 0.7508
Pb3 0.5151 0.7659 0.9024
O4 0.5308 0.4399 0.4953
Pb4 0.3865 0.9841 0.2492
O5 0.6899 0.2808 0.9953
O6 0.7847 0.3820 0.3230
S2 0.0000 0.0000 0.0000
O7 0.6320 0.5347 0.8230
O8 0.6180 0.9410 0.4027
P3 0.7486 0.8750 0.3736
O9 0.4289 0.8936 0.6617
O10 0.9645 0.4692 0.9091
O11 0.0181 0.8564 0.0353
Pb5 0.8635 0.6127 0.0976
O12 0.5382 0.2153 0.5973
O13 0.1064 0.7681 0.5353
O14 0.5601 0.0553 0.0909
O15 0.0172 0.9819 0.8383
O16 0.9447 0.0355 0.5047
O17 0.0590 0.4618 0.6770
Pb6 0.8627 0.6135 0.5976
O18 0.4653 0.2882 0.0973
O19 0.1910 0.3680 0.9027
O20 0.1436 0.1789 0.1617
O21 0.2855 0.6947 0.0047
P4 0.5014 0.3750 0.6264
O22 0.7118 0.8090 0.1770
Pb7 0.2341 0.1365 0.7492
O23 0.2328 0.5711 0.4647
O24 0.3053 0.3101 0.5909
Pb8 0.0159 0.2651 0.4024
```

Calculated values
Its total energy is -257.027 eV for the cell shown. As for the density of states at the Fermi level: 0.000 states/eV per atom. The formation energy from raw total energies is -1.7663 eV per atom.

Here is LiCoP4O12 after structural relaxation from Alexandria via LeMat-Bulk. Energies are from GGA-PBEsol.

Geometry as CIF:
```
data_LiCoP4O12
_cell_length_a 4.9433
_cell_length_b 10.2960
_cell_length_c 10.2960
_cell_angle_alpha 71.72
_cell_angle_beta 81.72
_cell_angle_gamma 81.72
_space_group_name_H-M_alt 'P 1'
_space_group_IT_number 1
loop_
_space_group_symop_operation_xyz
'x,y,z'
loop_
_atom_site_label
_atom_site_fract_x
_atom_site_fract_y
_atom_site_fract_z
O1 0.3943 0.8389 0.8389
O2 0.6808 0.4440 0.6733
P1 0.5216 0.3128 0.0661
O3 0.0000 0.2296 0.7704
O4 0.9836 0.1551 0.5616
O5 0.3848 0.0797 0.7089
O6 0.6808 0.6733 0.4440
P2 0.8275 0.7940 0.3660
O7 0.9836 0.5616 0.1551
P3 0.4784 0.9339 0.6872
O8 0.7870 0.9104 0.6623
O9 0.3192 0.5560 0.3267
O10 0.6152 0.9203 0.2911
P4 0.8275 0.3660 0.7940
Co1 0.0000 0.0000 0.5000
O11 0.0164 0.4384 0.8449
Li1 0.4364 0.5880 0.5880
P5 0.4784 0.6872 0.9339
O12 0.2130 0.3377 0.0896
O13 0.3192 0.3267 0.5560
P6 0.5216 0.0661 0.3128
O14 0.2130 0.0896 0.3377
O15 0.6152 0.2911 0.9203
O16 0.3179 0.9064 0.5859
Li2 0.5636 0.4120 0.4120
O17 0.7870 0.6623 0.9104
O18 0.3179 0.5859 0.9064
O19 0.6057 0.1611 0.1611
O20 0.6821 0.0936 0.4141
P7 0.1725 0.2060 0.6340
O21 0.3848 0.7089 0.0797
O22 0.0000 0.7704 0.2296
Co2 0.0000 0.5000 0.0000
P8 0.1725 0.6340 0.2060
O23 0.6821 0.4141 0.0936
O24 0.0164 0.8449 0.4384
```

Calculated values
Its total energy is -262.448 eV for the cell shown. The formation energy from raw total energies is -1.9646 eV per atom.

Here is Sr2Cu2O5 after structural relaxation from Alexandria via LeMat-Bulk. Energies are from GGA-PBEsol.

Geometry as CIF:
```
data_Sr2Cu2O5
_cell_length_a 5.4394
_cell_length_b 5.4577
_cell_length_c 8.6661
_cell_angle_alpha 108.35
_cell_angle_beta 108.29
_cell_angle_gamma 90.00
_space_group_name_H-M_alt 'P 1'
_space_group_IT_number 1
loop_
_space_group_symop_operation_xyz
'x,y,z'
loop_
_atom_site_label
_atom_site_fract_x
_atom_site_fract_y
_atom_site_fract_z
Cu1 0.5000 0.4979 0.0000
Cu2 0.0000 0.9979 0.0000
Cu3 0.1956 0.2700 0.5000
O1 0.2447 0.2477 0.9936
O2 0.1639 0.1241 0.2724
O3 0.7553 0.2541 0.0064
O4 0.1044 0.5921 0.5000
Cu4 0.8044 0.7700 0.5000
O5 0.6085 0.6241 0.2724
O6 0.3915 0.3517 0.7276
Sr1 0.8876 0.3896 0.7809
O7 0.8956 0.0921 0.5000
Sr2 0.1124 0.6087 0.2191
O8 0.7511 0.7541 0.0064
O9 0.2489 0.7477 0.9936
O10 0.8361 0.8517 0.7276
Sr3 0.6066 0.1087 0.2191
Sr4 0.3934 0.8896 0.7809
```

Calculated values
Its total energy is -105.068 eV for the cell shown. As for the density of states at the Fermi level: 0.294 states/eV per atom. The formation energy from raw total energies is -1.5487 eV per atom.

Here is CaCr2Se after structural relaxation from Alexandria via LeMat-Bulk. Energies are from GGA-PBEsol.

Geometry as CIF:
```
data_CaCr2Se
_cell_length_a 4.0392
_cell_length_b 4.0392
_cell_length_c 5.9972
_cell_angle_alpha 70.32
_cell_angle_beta 70.32
_cell_angle_gamma 60.00
_space_group_name_H-M_alt 'P 1'
_space_group_IT_number 1
loop_
_space_group_symop_operation_xyz
'x,y,z'
loop_
_atom_site_label
_atom_site_fract_x
_atom_site_fract_y
_atom_site_fract_z
Cr1 0.7266 0.7266 0.8202
Ca1 0.2577 0.2577 0.2268
Se1 0.4657 0.4657 0.6029
Cr2 0.0553 0.0553 0.8342
```

Calculated values
Its total energy is -26.927 eV for the cell shown. As for the density of states at the Fermi level: 0.059 states/eV per atom. The formation energy from raw total energies is -0.1148 eV per atom.